Record 1
Compound: SClO2
Source: the Alexandria database
Functional: PBE-GGA
Structure: optimized geometry

Distance to the lowest polymorph of the same formula ... 879 meV/atom

abc: 8.0080 8.0080 8.0080
angles: 90.00 90.00 90.00
Space group Fd-3m (No. 227, origin choice 2)
Asymmetric unit:
S (0.1250, 0.1250, 0.1250) [8 per cell]
Cl (0.1250, 0.1250, 0.6250) [8 per cell]
O (0.0000, 0.0000, 0.0000) [16 per cell]


Record 2
Compound: S2ClO6
Source: the Alexandria database
Functional: PBE-GGA
Structure: optimized geometry

abc: 15.2318 10.0120 4.4839
angles: 90.00 104.09 90.00
Space group C2/c (No. 15)
Asymmetric unit:
S (0.1610, 0.0952, 0.1358) [8 per cell]
Cl (0.0000, 0.4696, 0.7500) [4 per cell]
O (0.1028, 0.2011, 0.1718) [8 per cell]
O (0.1239, 0.0451, 0.7871) [8 per cell]
O (0.2430, 0.4007, 0.7719) [8 per cell]


Record 3
Compound: SbS2ClO
Source: the Alexandria database
Functional: PBE-GGA
Structure: optimized geometry

Distance to the lowest polymorph of the same formula ... 255 meV/atom

abc: 5.0905 5.0905 5.1744
angles: 90.00 90.00 90.00
Space group P4/mmm (No. 123)
Asymmetric unit:
Sb (0.0000, 0.0000, 0.0000) [1 per cell]
S (0.0000, 0.5000, 0.0000) [2 per cell]
Cl (0.0000, 0.0000, 0.5000) [1 per cell]
O (0.5000, 0.5000, 0.5000) [1 per cell]


Record 4
Compound: SbS2ClO
Source: the Alexandria database
Functional: PBE-GGA
Structure: optimized geometry

Distance to the lowest polymorph of the same formula ... 0 meV/atom

abc: 4.4070 4.4070 4.4674
angles: 90.00 90.00 90.00
Space group P4/mmm (No. 123)
Asymmetric unit:
Sb (0.0000, 0.0000, 0.0000) [1 per cell]
S (0.0000, 0.5000, 0.5000) [2 per cell]
Cl (0.5000, 0.5000, 0.0000) [1 per cell]
O (0.5000, 0.5000, 0.5000) [1 per cell]


Record 5
Compound: SbSCl2O
Source: the Alexandria database
Functional: PBE-GGA
Structure: optimized geometry

Distance to the lowest polymorph of the same formula ... 74 meV/atom

abc: 4.5270 4.5270 4.4371
angles: 90.00 90.00 90.00
Space group P4/mmm (No. 123)
Asymmetric unit:
Sb (0.0000, 0.0000, 0.0000) [1 per cell]
S (0.5000, 0.5000, 0.0000) [1 per cell]
Cl (0.0000, 0.5000, 0.5000) [2 per cell]
O (0.5000, 0.5000, 0.5000) [1 per cell]


Record 6
Compound: SbSCl2O
Source: the Alexandria database
Functional: PBE-GGA
Structure: optimized geometry

Distance to the lowest polymorph of the same formula ... 0 meV/atom

abc: 5.2449 5.2449 5.0755
angles: 90.00 90.00 90.00
Space group P4/mmm (No. 123)
Asymmetric unit:
Sb (0.0000, 0.0000, 0.0000) [1 per cell]
S (0.0000, 0.0000, 0.5000) [1 per cell]
Cl (0.0000, 0.5000, 0.0000) [2 per cell]
O (0.5000, 0.5000, 0.5000) [1 per cell]


Record 7
Compound: ScSClO4
Source: the Alexandria database
Functional: PBE-GGA
Structure: optimized geometry

abc: 9.5199 6.6446 6.1408
angles: 90.00 104.04 90.00
Space group C2/m (No. 12)
Asymmetric unit:
Sc (0.2184, 0.0000, 0.1225) [4 per cell]
S (0.1388, 0.5000, 0.2715) [4 per cell]
Cl (0.0169, 0.0000, 0.7632) [4 per cell]
O (0.0170, 0.5000, 0.7612) [4 per cell]
O (0.1909, 0.3254, 0.1494) [8 per cell]
O (0.2161, 0.5000, 0.5080) [4 per cell]


Record 8
Compound: ScS2ClO
Source: the Alexandria database
Functional: PBE-GGA
Structure: optimized geometry

Distance to the lowest polymorph of the same formula ... 228 meV/atom

abc: 5.0366 5.0366 4.9111
angles: 90.00 90.00 90.00
Space group P4/mmm (No. 123)
Asymmetric unit:
Sc (0.0000, 0.0000, 0.0000) [1 per cell]
S (0.0000, 0.5000, 0.0000) [2 per cell]
Cl (0.0000, 0.0000, 0.5000) [1 per cell]
O (0.5000, 0.5000, 0.5000) [1 per cell]


Record 9
Compound: ScS2ClO
Source: the Alexandria database
Functional: PBE-GGA
Structure: optimized geometry

Distance to the lowest polymorph of the same formula ... 0 meV/atom

abc: 3.9339 3.9339 5.2595
angles: 90.00 90.00 90.00
Space group P4/mmm (No. 123)
Asymmetric unit:
Sc (0.0000, 0.0000, 0.0000) [1 per cell]
S (0.0000, 0.5000, 0.5000) [2 per cell]
Cl (0.5000, 0.5000, 0.0000) [1 per cell]
O (0.5000, 0.5000, 0.5000) [1 per cell]


Record 10
Compound: SeSCl2O
Source: the Alexandria database
Functional: PBE-GGA
Structure: optimized geometry

Distance to the lowest polymorph of the same formula ... 0 meV/atom

abc: 4.5496 4.5496 4.2348
angles: 90.00 90.00 90.00
Space group P4/mmm (No. 123)
Asymmetric unit:
Se (0.0000, 0.0000, 0.0000) [1 per cell]
S (0.5000, 0.5000, 0.0000) [1 per cell]
Cl (0.0000, 0.5000, 0.5000) [2 per cell]
O (0.5000, 0.5000, 0.5000) [1 per cell]


Record 11
Compound: SeS2ClO8
Source: the Alexandria database
Functional: PBE-GGA
Structure: optimized geometry

abc: 8.1350 5.2808 9.6809
angles: 90.00 114.11 90.00
Space group C2/m (No. 12)
Asymmetric unit:
Se (0.0000, 0.0000, 0.0000) [2 per cell]
S (0.2343, 0.5000, 0.1831) [4 per cell]
Cl (0.0000, 0.5000, 0.5000) [2 per cell]
O (0.1114, 0.0000, 0.6766) [4 per cell]
O (0.1150, 0.2690, 0.1678) [8 per cell]
O (0.2265, 0.0000, 0.9589) [4 per cell]


Record 12
Compound: SeSCl2O
Source: the Alexandria database
Functional: PBE-GGA
Structure: optimized geometry

Distance to the lowest polymorph of the same formula ... 87 meV/atom

abc: 4.8186 4.8186 4.9784
angles: 90.00 90.00 90.00
Space group P4/mmm (No. 123)
Asymmetric unit:
Se (0.0000, 0.0000, 0.0000) [1 per cell]
S (0.0000, 0.0000, 0.5000) [1 per cell]
Cl (0.0000, 0.5000, 0.0000) [2 per cell]
O (0.5000, 0.5000, 0.5000) [1 per cell]


Record 13
Compound: SeS2ClO
Source: the Alexandria database
Functional: PBE-GGA
Structure: optimized geometry

Distance to the lowest polymorph of the same formula ... 0 meV/atom

abc: 4.2831 4.2831 4.5491
angles: 90.00 90.00 90.00
Space group P4/mmm (No. 123)
Asymmetric unit:
Se (0.0000, 0.0000, 0.0000) [1 per cell]
S (0.0000, 0.5000, 0.5000) [2 per cell]
Cl (0.5000, 0.5000, 0.0000) [1 per cell]
O (0.5000, 0.5000, 0.5000) [1 per cell]


Record 14
Compound: SeS2ClO
Source: the Alexandria database
Functional: PBE-GGA
Structure: optimized geometry

Distance to the lowest polymorph of the same formula ... 244 meV/atom

abc: 4.8435 4.8435 4.8657
angles: 90.00 90.00 90.00
Space group P4/mmm (No. 123)
Asymmetric unit:
Se (0.0000, 0.0000, 0.0000) [1 per cell]
S (0.0000, 0.5000, 0.0000) [2 per cell]
Cl (0.0000, 0.0000, 0.5000) [1 per cell]
O (0.5000, 0.5000, 0.5000) [1 per cell]


Record 15
Compound: SmSClO4
Source: the Alexandria database
Functional: PBE-GGA
Structure: optimized geometry

abc: 9.8734 7.0830 6.5325
angles: 90.00 103.72 90.00
Space group C2/m (No. 12)
Asymmetric unit:
Sm (0.2275, 0.0000, 0.1381) [4 per cell]
S (0.1362, 0.5000, 0.2638) [4 per cell]
Cl (0.0229, 0.0000, 0.7618) [4 per cell]
O (0.0146, 0.5000, 0.7623) [4 per cell]
O (0.1825, 0.3335, 0.1506) [8 per cell]
O (0.2104, 0.5000, 0.4862) [4 per cell]


Record 16
Compound: SnS2ClO
Source: the Alexandria database
Functional: PBE-GGA
Structure: optimized geometry

Distance to the lowest polymorph of the same formula ... 72 meV/atom

abc: 5.2371 5.2371 3.9385
angles: 90.00 90.00 90.00
Space group P4/mmm (No. 123)
Asymmetric unit:
Sn (0.0000, 0.0000, 0.0000) [1 per cell]
S (0.0000, 0.5000, 0.0000) [2 per cell]
Cl (0.5000, 0.5000, 0.5000) [1 per cell]
O (0.0000, 0.0000, 0.5000) [1 per cell]


Record 17
Compound: SnSCl2O
Source: the Alexandria database
Functional: PBE-GGA
Structure: optimized geometry

Distance to the lowest polymorph of the same formula ... 121 meV/atom

abc: 5.1807 5.1807 4.9949
angles: 90.00 90.00 90.00
Space group P4/mmm (No. 123)
Asymmetric unit:
Sn (0.0000, 0.0000, 0.0000) [1 per cell]
S (0.0000, 0.0000, 0.5000) [1 per cell]
Cl (0.0000, 0.5000, 0.0000) [2 per cell]
O (0.5000, 0.5000, 0.5000) [1 per cell]


Record 18
Compound: SnS2ClO
Source: the Alexandria database
Functional: PBE-GGA
Structure: optimized geometry

Distance to the lowest polymorph of the same formula ... 0 meV/atom

abc: 4.0316 4.0316 5.7596
angles: 90.00 90.00 90.00
Space group P4/mmm (No. 123)
Asymmetric unit:
Sn (0.0000, 0.0000, 0.0000) [1 per cell]
S (0.0000, 0.5000, 0.5000) [2 per cell]
Cl (0.5000, 0.5000, 0.0000) [1 per cell]
O (0.5000, 0.5000, 0.5000) [1 per cell]


Record 19
Compound: SnS2ClO
Source: the Alexandria database
Functional: PBE-GGA
Structure: optimized geometry

Distance to the lowest polymorph of the same formula ... 556 meV/atom

abc: 5.0487 5.0487 5.1273
angles: 90.00 90.00 90.00
Space group P4/mmm (No. 123)
Asymmetric unit:
Sn (0.0000, 0.0000, 0.0000) [1 per cell]
S (0.0000, 0.5000, 0.0000) [2 per cell]
Cl (0.0000, 0.0000, 0.5000) [1 per cell]
O (0.5000, 0.5000, 0.5000) [1 per cell]


Record 20
Compound: SnSCl2O
Source: the Alexandria database
Functional: PBE-GGA
Structure: optimized geometry

Distance to the lowest polymorph of the same formula ... 0 meV/atom

abc: 4.6340 4.6340 4.3669
angles: 90.00 90.00 90.00
Space group P4/mmm (No. 123)
Asymmetric unit:
Sn (0.0000, 0.0000, 0.0000) [1 per cell]
S (0.5000, 0.5000, 0.0000) [1 per cell]
Cl (0.0000, 0.5000, 0.5000) [2 per cell]
O (0.5000, 0.5000, 0.5000) [1 per cell]


Record 21
Compound: SrS2ClO
Source: the Alexandria database
Functional: PBE-GGA
Structure: optimized geometry

Distance to the lowest polymorph of the same formula ... 0 meV/atom

abc: 4.0732 4.0732 5.8885
angles: 90.00 90.00 90.00
Space group P4/mmm (No. 123)
Asymmetric unit:
Sr (0.0000, 0.0000, 0.0000) [1 per cell]
S (0.0000, 0.5000, 0.5000) [2 per cell]
Cl (0.5000, 0.5000, 0.0000) [1 per cell]
O (0.5000, 0.5000, 0.5000) [1 per cell]


Record 22
Compound: SrS2ClO
Source: the Alexandria database
Functional: PBE-GGA
Structure: optimized geometry

Distance to the lowest polymorph of the same formula ... 1125 meV/atom

abc: 6.0288 6.0288 5.5464
angles: 90.00 90.00 90.00
Space group P4/mmm (No. 123)
Asymmetric unit:
Sr (0.0000, 0.0000, 0.0000) [1 per cell]
S (0.0000, 0.5000, 0.0000) [2 per cell]
Cl (0.0000, 0.0000, 0.5000) [1 per cell]
O (0.5000, 0.5000, 0.5000) [1 per cell]


Record 23
Compound: TaSCl7O
Source: the Alexandria database
Functional: PBE-GGA
Structure: optimized geometry

abc: 17.2654 9.4903 7.8260
angles: 90.00 90.00 90.00
Space group Pnma (No. 62)
Asymmetric unit:
Ta (0.1359, 0.2500, 0.0016) [4 per cell]
S (0.1623, 0.7500, 0.6612) [4 per cell]
Cl (0.0211, 0.2500, 0.8618) [4 per cell]
Cl (0.0861, 0.2500, 0.2814) [4 per cell]
Cl (0.1234, 0.5838, 0.5143) [8 per cell]
Cl (0.1499, 0.0049, 0.0211) [8 per cell]
Cl (0.2151, 0.2500, 0.7611) [4 per cell]
O (0.2477, 0.7500, 0.6530) [4 per cell]


Record 24
Compound: TaS2ClO8
Source: the Alexandria database
Functional: PBE-GGA
Structure: optimized geometry

abc: 5.5823 5.5823 6.0027
angles: 90.00 90.00 120.00
Space group P-3m1 (No. 164)
Asymmetric unit:
Ta (0.0000, 0.0000, 0.0000) [1 per cell]
S (0.3333, 0.6667, 0.7568) [2 per cell]
Cl (0.0000, 0.0000, 0.5000) [1 per cell]
O (0.1910, 0.3821, 0.8577) [6 per cell]
O (0.3333, 0.6667, 0.5211) [2 per cell]


Summary of total magnetic moment in Bohr magnetons per cell
5.08, 0.42, 3.21, 0.00, 0.00, 2.50, 0.00, 3.87, 0.04, 0.00, 2.01, 0.00, 0.00, 0.17, 0.00, 3.04, 2.52, 0.06, 3.17, 0.00, 0.26, 3.05, 0.00, 0.11
(order as listed above)
Summary of E_form (uncorrected) in eV per atom
0.2117, -0.8949, 0.7853, 0.5302, 0.4817, 0.4078, -1.9755, -0.0731, -0.3013, 0.9233, -0.7101, 1.0103, 0.9686, 1.2129, -2.1493, 0.2313, 0.3391, 0.1591, 0.7151, 0.2179, -0.6762, 0.4487, -1.0487, -1.3536
(order as listed above)